The following is a PBE calculation of a relaxed TmPaSnO6 crystal, from Alexandria via LeMat-Bulk.

Results
Space-group type: No. 163
Formation energy (no corrections) in meV/atom: -2907

POSCAR file:
```
TmPaSnO6
1.0
-2.882 4.631 -0.721
1.196 -3.196 -4.316
-8.180 -4.882 1.348
Pa O Tm Sn
2 12 2 2
Direct
0.000 0.000 0.500
0.000 0.000 0.000
0.341 0.019 0.130
0.341 0.322 0.370
0.019 0.341 0.630
0.981 0.322 0.130
0.981 0.659 0.370
0.678 0.659 0.130
0.019 0.678 0.870
0.322 0.981 0.630
0.659 0.981 0.870
0.659 0.678 0.630
0.322 0.341 0.870
0.678 0.019 0.370
0.667 0.333 0.750
0.333 0.667 0.250
0.333 0.667 0.750
0.667 0.333 0.250
```